1.
10
Lattice="8.356 0.000 0.000 0.000 8.356 0.000 0.000 0.000 3.028" Properties=species:S:1:pos:R:3 comment="Mg2Al2Hg (PBE-GGA, relaxed)" space_group="P4/mbm (127)" de_polymorph_ev_per_atom=0.000 vol_a3_per_atom=21.1 formation_enthalpy_0k_ev_per_atom=0.049 energy_ev_per_atom=-2.15 pbc="T T T"
Mg 1.544 2.634 0.000
Mg 2.634 6.812 0.000
Mg 5.722 1.544 0.000
Mg 6.812 5.722 0.000
Al 0.941 5.119 1.514
Al 3.237 0.941 1.514
Al 5.119 7.415 1.514
Al 7.415 3.237 1.514
Hg 0.000 0.000 1.514
Hg 4.178 4.178 1.514


2.
3
Lattice="4.528 0.000 0.000 -2.264 3.921 0.000 0.000 0.000 2.763" Properties=species:S:1:pos:R:3 comment="ReAgAs (PBE-GGA, relaxed)" space_group="P-6m2 (187)" de_polymorph_ev_per_atom=0.217 vol_a3_per_atom=16.4 formation_enthalpy_0k_ev_per_atom=0.577 energy_ev_per_atom=-6.07 pbc="T T T"
Re 0.000 0.000 0.000
Ag 2.264 1.307 1.382
As 0.000 2.614 0.000


3.
10
Lattice="-4.242 4.242 4.322 4.242 -4.242 4.322 4.242 4.242 -4.322" Properties=species:S:1:pos:R:3 comment="Cs2DyHCl6 (PBE-GGA, relaxed)" space_group="I4/mmm (139)" vol_a3_per_atom=31.1 energy_ev_per_atom=-3.87 pbc="T T T"
Cs 4.242 0.000 2.161
Cs 0.000 4.242 2.161
Dy 0.000 0.000 0.000
H 0.000 0.000 4.322
Cl 1.841 1.841 0.000
Cl 2.401 -2.401 4.322
Cl 0.000 0.000 2.759
Cl 0.000 0.000 5.885
Cl -2.401 2.401 4.322
Cl 2.401 2.401 4.322